1.
# BeAuF2

Crystalline BeAuF2 at its relaxed geometry (PBE, Alexandria via LeMat-Bulk).

Output
- size of the total moment (μB per formula unit) = 0.00
- DOS at the Fermi energy (states/eV per cell) = 3.97
- VASP energy (eV per atom) = -4.567
- relative energy among the computed polymorphs (eV/f.u.) = 1.04

abc: 7.382 7.382 7.382
angles: 90.00 90.00 90.00
Space group Fd-3m (No. 227, origin choice 2)
Asymmetric unit:
Be  0.125  0.125  0.125 [8 per cell]
Au  0.125  0.125  0.625 [8 per cell]
F  0.000  0.000  0.000 [16 per cell]


2.
# K3ZnPb3O8

Crystalline K3ZnPb3O8 at its relaxed geometry (PBE, Alexandria via LeMat-Bulk).

Output
- size of the total moment (μB per formula unit) = 0.00
- DOS at the Fermi energy (states/eV per cell) = 3.99
- VASP energy (eV per atom) = -4.857

abc: 11.794 6.803 7.442
angles: 90.00 121.89 90.00
Space group C2/m (No. 12)
Asymmetric unit:
K  0.000  0.000  0.000 [2 per cell]
K  0.250  0.250  0.000 [4 per cell]
Zn  0.000  0.000  0.500 [2 per cell]
Pb  0.000  0.500  0.500 [2 per cell]
Pb  0.250  0.250  0.500 [4 per cell]
O  0.023  0.246  0.325 [8 per cell]
O  0.223  0.000  0.676 [4 per cell]
O  0.233  0.500  0.698 [4 per cell]


3.
# TlRuW2

Crystalline TlRuW2 at its relaxed geometry (PBE, Alexandria via LeMat-Bulk).

Output
- size of the total moment (μB per formula unit) = 0.00
- formation energy from the elements (eV/atom) = 0.64
- DOS at the Fermi energy (states/eV per cell) = 4.88
- VASP energy (eV per atom) = -8.743
- relative energy among the computed polymorphs (eV/f.u.) = 0.62

abc: 9.534 2.906 5.066
angles: 90.00 101.07 90.00
Space group Cm (No. 8)
Asymmetric unit:
Tl  0.000  0.000  0.000 [2 per cell]
Ru  0.238  0.000  0.723 [2 per cell]
W  0.012  0.500  0.508 [2 per cell]
W  0.266  0.500  0.291 [2 per cell]


4.
# La2TlCd2

Crystalline La2TlCd2 at its relaxed geometry (PBE, Alexandria via LeMat-Bulk).

Output
- size of the total moment (μB per formula unit) = 0.00
- formation energy from the elements (eV/atom) = -0.14
- DOS at the Fermi energy (states/eV per cell) = 14.61
- VASP energy (eV per atom) = -2.953
- relative energy among the computed polymorphs (eV/f.u.) = 0.90

abc: 4.021 4.021 19.539
angles: 90.00 90.00 90.00
Space group I4/mmm (No. 139)
Asymmetric unit:
La  0.000  0.000  0.102 [4 per cell]
Tl  0.000  0.000  0.500 [2 per cell]
Cd  0.000  0.500  0.250 [4 per cell]


5.
# SiNi2Te

Crystalline SiNi2Te at its relaxed geometry (PBE, Alexandria via LeMat-Bulk).

Output
- size of the total moment (μB per formula unit) = 0.00
- DOS at the Fermi energy (states/eV per cell) = 4.51
- VASP energy (eV per atom) = -4.840
- relative energy among the computed polymorphs (eV/f.u.) = 1.63

abc: 5.901 5.905 3.448
angles: 90.00 93.12 90.00
Space group C2/m (No. 12)
Asymmetric unit:
Si  0.000  0.000  0.000 [2 per cell]
Ni  0.250  0.250  0.500 [4 per cell]
Te  0.000  0.500  0.000 [2 per cell]


6.
# Pm2Er2Sn3

Crystalline Pm2Er2Sn3 at its relaxed geometry (PBE, Alexandria via LeMat-Bulk).

Output
- size of the total moment (μB per formula unit) = 0.00
- formation energy from the elements (eV/atom) = -0.53
- DOS at the Fermi energy (states/eV per cell) = 12.27
- VASP energy (eV per atom) = -4.906

abc: 4.964 5.168 16.215
angles: 90.00 90.00 90.00
Space group Immm (No. 71)
Asymmetric unit:
Pm  0.000  0.000  0.120 [4 per cell]
Er  0.000  0.000  0.378 [4 per cell]
Sn  0.000  0.500  0.000 [2 per cell]
Sn  0.000  0.500  0.253 [4 per cell]


7.
# SmCoSn4

Crystalline SmCoSn4 at its relaxed geometry (PBE, Alexandria via LeMat-Bulk).

Output
- size of the total moment (μB per formula unit) = 0.00
- formation energy from the elements (eV/atom) = -0.21
- DOS at the Fermi energy (states/eV per cell) = 19.72
- VASP energy (eV per atom) = -4.851

abc: 4.627 19.727 6.546
angles: 90.00 90.00 90.00
Space group Cmc2_1 (No. 36)
Asymmetric unit:
Sm  0.000  0.135  0.000 [4 per cell]
Co  0.000  0.402  0.195 [4 per cell]
Sn  0.000  0.080  0.514 [4 per cell]
Sn  0.000  0.275  0.275 [4 per cell]
Sn  0.000  0.324  0.841 [4 per cell]
Sn  0.000  0.479  0.517 [4 per cell]


8.
# Rb3LiZn2F8

Crystalline Rb3LiZn2F8 at its relaxed geometry (PBE, Alexandria via LeMat-Bulk).

Output
- size of the total moment (μB per formula unit) = 0.00
- DOS at the Fermi energy (states/eV per cell) = 0.00
- VASP energy (eV per atom) = -4.177

abc: 5.9786 5.9786 7.8524
angles: 90.00 90.00 120.00
Space group P-3m1 (No. 164)
Asymmetric unit:
Rb  0.0000  0.0000  0.0000 [1 per cell]
Rb  0.3333  0.6667  0.6446 [2 per cell]
Li  0.0000  0.0000  0.5000 [1 per cell]
Zn  0.3333  0.6667  0.2238 [2 per cell]
F  0.1637  0.3273  0.3310 [6 per cell]
F  0.3333  0.6667  0.9841 [2 per cell]


9.
# RbNaLiPb

Crystalline RbNaLiPb at its relaxed geometry (PBE, Alexandria via LeMat-Bulk).

Output
- size of the total moment (μB per formula unit) = 0.33
- formation energy from the elements (eV/atom) = -0.04
- DOS at the Fermi energy (states/eV per cell) = 19.73
- VASP energy (eV per atom) = -2.013

abc: 8.024 8.024 8.024
angles: 90.00 90.00 90.00
Space group F-43m (No. 216)
Asymmetric unit:
Rb  0.000  0.000  0.000 [4 per cell]
Na  0.250  0.250  0.250 [4 per cell]
Li  0.250  0.250  0.750 [4 per cell]
Pb  0.000  0.000  0.500 [4 per cell]


10.
# Tl2ReCl

Crystalline Tl2ReCl at its relaxed geometry (PBE, Alexandria via LeMat-Bulk).

Output
- size of the total moment (μB per formula unit) = 0.00
- DOS at the Fermi energy (states/eV per cell) = 6.79
- VASP energy (eV per atom) = -4.072
- relative energy among the computed polymorphs (eV/f.u.) = 0.82

abc: 3.3388 3.3388 26.9424
angles: 90.00 90.00 120.00
Space group R-3m (No. 166, hexagonal axes)
Asymmetric unit:
Tl  0.0000  0.0000  0.2458 [6 per cell]
Re  0.0000  0.0000  0.5000 [3 per cell]
Cl  0.0000  0.0000  0.0000 [3 per cell]


11.
# Y3HgTe

Crystalline Y3HgTe at its relaxed geometry (PBE, Alexandria via LeMat-Bulk).

Output
- size of the total moment (μB per formula unit) = 0.00
- DOS at the Fermi energy (states/eV per cell) = 4.29
- VASP energy (eV per atom) = -4.683
- relative energy among the computed polymorphs (eV/f.u.) = 2.93

abc: 5.606 5.606 5.606
angles: 90.00 90.00 90.00
Space group Pm-3m (No. 221)
Asymmetric unit:
Y  0.000  0.000  0.500 [3 per cell]
Hg  0.000  0.000  0.000 [1 per cell]
Te  0.500  0.500  0.500 [1 per cell]


12.
# Cs2TiP

Crystalline Cs2TiP at its relaxed geometry (PBE, Alexandria via LeMat-Bulk).

Output
- size of the total moment (μB per formula unit) = 2.16
- formation energy from the elements (eV/atom) = 0.13
- DOS at the Fermi energy (states/eV per cell) = 18.79
- VASP energy (eV per atom) = -3.626

abc: 13.836 13.836 4.812
angles: 90.00 90.00 90.00
Space group I-42d (No. 122)
Asymmetric unit:
Cs  0.066  0.250  0.125 [8 per cell]
Ti  0.000  0.000  0.500 [4 per cell]
P  0.000  0.000  0.000 [4 per cell]